Entry 1:
First-principles (PBE) data for a geometry-optimized Y2TaOs structure, as listed in Alexandria.

Unit cell a=8.386 b=8.386 c=6.544 alpha=50.15 beta=50.15 gamma=90.00
Sites, in units of the cell vectors:
1 Os 0.000 0.000 0.000
2 Os 0.750 0.250 0.500
3 Y 0.875 0.938 0.750
4 Y 0.375 0.312 0.750
5 Y 0.688 0.125 0.250
6 Y 0.062 0.625 0.250
7 Ta 0.250 0.750 0.500
8 Ta 0.500 0.500 0.000

Formation energy from the elements (meV per atom): 664.2
Energy relative to the lowest polymorph listed for this composition (meV per atom): 732
Electronic total energy (eV/atom): -8.3384
Total magnetic moment (μB per cell): 0.00

---

Entry 2:
First-principles (PBE) data for a geometry-optimized Ca2BiO structure, as listed in Alexandria.

Unit cell a=4.982 b=6.401 c=6.401 alpha=103.44 beta=90.00 gamma=90.00
Sites, in units of the cell vectors:
1 Ca 0.000 0.000 0.000
2 Ca 0.000 0.500 0.000
3 Ca 0.500 0.500 0.500
4 Ca 0.000 0.000 0.500
5 Bi 0.500 0.192 0.808
6 Bi 0.500 0.808 0.192
7 O 0.000 0.283 0.283
8 O 0.000 0.717 0.717

Energy relative to the lowest polymorph listed for this composition (meV per atom): 429
Formation energy from raw total energies (kJ/mol of formula units): -514
Electronic total energy (eV/atom): -4.5423
Total magnetic moment (μB per cell): 0.00

---

Entry 3:
First-principles (PBE) data for a geometry-optimized BaCo4Br structure, as listed in Alexandria.

Unit cell a=5.315 b=5.315 c=5.315 alpha=60.00 beta=60.00 gamma=60.00
Sites, in units of the cell vectors:
1 Co 0.373 0.881 0.373
2 Co 0.373 0.373 0.373
3 Co 0.881 0.373 0.373
4 Co 0.373 0.373 0.881
5 Ba 0.750 0.750 0.750
6 Br 0.000 0.000 0.000

Formation energy from raw total energies (kJ/mol of formula units): 316
Electronic total energy (eV/atom): -4.7898
Total magnetic moment (μB per cell): 6.94

---

Look up the electronic total energy of the first one.
-8.3384 eV/atom